A geometry-optimized Cd2BiMoO6 structure, computed with GGA+U.

Spin magnetization: 0.10 μB per atom
Uncorrected energy: -5.530 eV per atom

a b c (Å): 5.7386 5.7637 10.1138
angles (deg): 90.00 124.58 90.00
Space group P2_1/c (No. 14)
Inequivalent atoms, fractional coordinates:
Cd 0.2387 0.0362 0.2442
Bi 0.0000 0.0000 0.5000
Mo 0.5000 0.0000 0.0000
O 0.1587 0.0801 0.7701
O 0.2507 0.6580 0.5546
O 0.4221 0.2065 0.5678

A geometry-optimized CdBi2MoO6 structure, computed with GGA+U.

Spin magnetization: 0.20 μB per atom
Uncorrected energy: -5.868 eV per atom

a b c (Å): 5.8698 5.8746 5.9966
angles (deg): 118.88 90.57 119.51
Space group P1 (No. 1)
Inequivalent atoms, fractional coordinates:
Cd 0.0000 0.0000 0.0000
Bi 0.2711 0.5472 0.8200
Bi 0.7841 0.5579 0.3360
Mo 0.4876 0.9716 0.4545
O 0.1361 0.4963 0.1630
O 0.2210 0.0399 0.6417
O 0.3731 0.0391 0.1681
O 0.6284 0.8400 0.6487
O 0.6751 0.8172 0.1739
O 0.8388 0.4584 0.6566